# 1
# KCeTlI6 (GGA-PBE, optimized geometry)
# ΔE_f (raw) = -1.108 eV per atom
data_KCeTlI6
_cell_length_a 7.959
_cell_length_b 7.959
_cell_length_c 14.940
_cell_angle_alpha 90.00
_cell_angle_beta 90.00
_cell_angle_gamma 90.00
_symmetry_space_group_name_H-M 'P 42 n m'
_symmetry_Int_Tables_number 102
loop_
_symmetry_equiv_pos_as_xyz
'x,y,z'
'-y+1/2,x+1/2,z+1/2'
'-x,-y,z'
'y+1/2,-x+1/2,z+1/2'
'-x+1/2,y+1/2,z+1/2'
'y,x,z'
'x+1/2,-y+1/2,z+1/2'
'-y,-x,z'
loop_
_atom_site_label
_atom_site_type_symbol
_atom_site_fract_x
_atom_site_fract_y
_atom_site_fract_z
_atom_site_occupancy
K1 K 0.000 0.000 0.000 1
Ce1 Ce 0.000 0.000 0.335 1
Tl1 Tl 0.000 0.000 0.668 1
I1 I 0.185 0.185 0.484 1
I2 I 0.190 0.190 0.190 1
I3 I 0.230 0.230 0.833 1



# 2
# Ba2Tl4SnHg3 (GGA-PBE, optimized geometry)
# density of states at the Fermi level = 0.3713 states/eV per atom
# DFT formation energy = -292 meV per atom
data_Ba2Tl4SnHg3
_cell_length_a 5.135
_cell_length_b 5.135
_cell_length_c 12.467
_cell_angle_alpha 90.00
_cell_angle_beta 90.00
_cell_angle_gamma 90.00
_symmetry_space_group_name_H-M 'P -4 m 2'
_symmetry_Int_Tables_number 115
loop_
_symmetry_equiv_pos_as_xyz
'x,y,z'
'y,-x,-z'
'-x,-y,z'
'-y,x,-z'
'-x,y,z'
'-y,-x,-z'
'x,-y,z'
'y,x,-z'
loop_
_atom_site_label
_atom_site_type_symbol
_atom_site_fract_x
_atom_site_fract_y
_atom_site_fract_z
_atom_site_occupancy
Ba1 Ba 0.000 0.500 0.241 1
Tl1 Tl 0.000 0.000 0.500 1
Tl2 Tl 0.000 0.500 0.866 1
Tl3 Tl 0.500 0.500 0.500 1
Sn1 Sn 0.500 0.500 0.000 1
Hg1 Hg 0.000 0.000 0.000 1
Hg2 Hg 0.000 0.500 0.633 1



# 3
# BaNaGe (GGA-PBE, optimized geometry)
# density of states at the Fermi level = 0.9779 states/eV per atom
# DFT formation energy = -228 meV per atom
data_BaNaGe
_cell_length_a 5.2922
_cell_length_b 5.2922
_cell_length_c 3.9507
_cell_angle_alpha 90.00
_cell_angle_beta 90.00
_cell_angle_gamma 120.00
_symmetry_space_group_name_H-M 'P 3 m 1'
_symmetry_Int_Tables_number 156
loop_
_symmetry_equiv_pos_as_xyz
'x,y,z'
'-y,x-y,z'
'-x+y,-x,z'
'-y,-x,z'
'-x+y,y,z'
'x,x-y,z'
loop_
_atom_site_label
_atom_site_type_symbol
_atom_site_fract_x
_atom_site_fract_y
_atom_site_fract_z
_atom_site_occupancy
Ba1 Ba 0.0000 0.0000 0.0000 1
Na1 Na 0.3333 0.6667 0.4984 1
Ge1 Ge 0.6667 0.3333 0.5011 1



# 4
# NaTi2Cl (GGA-PBE, optimized geometry)
# density of states at the Fermi level = 1.0619 states/eV per atom
# ΔE_f (raw) = 0.407 eV per atom
# excess energy over the best structure of this formula in the dataset = 0.00 eV/f.u.
data_NaTi2Cl
_cell_length_a 4.449
_cell_length_b 4.449
_cell_length_c 18.729
_cell_angle_alpha 90.00
_cell_angle_beta 90.00
_cell_angle_gamma 90.00
_symmetry_space_group_name_H-M 'I -4 2 d'
_symmetry_Int_Tables_number 122
_symmetry_space_group_name_Hall 'I -4 2bw'
loop_
_atom_site_label
_atom_site_type_symbol
_atom_site_fract_x
_atom_site_fract_y
_atom_site_fract_z
_atom_site_occupancy
Na1 Na 0.000 0.000 0.000 1
Ti1 Ti 0.007 0.250 0.625 1
Cl1 Cl 0.000 0.000 0.500 1



# 5
# Ac2In3Ag2 (GGA-PBE, optimized geometry)
# density of states at the Fermi level = 1.0138 states/eV per atom
# excess energy over the best structure of this formula in the dataset = 0.03 eV/f.u.
# DFT formation energy = -348 meV per atom
data_Ac2In3Ag2
_cell_length_a 4.794
_cell_length_b 21.141
_cell_length_c 7.943
_cell_angle_alpha 90.00
_cell_angle_beta 90.00
_cell_angle_gamma 90.00
_symmetry_space_group_name_H-M 'C m c m'
_symmetry_Int_Tables_number 63
_symmetry_space_group_name_Hall '-C 2c 2'
loop_
_atom_site_label
_atom_site_type_symbol
_atom_site_fract_x
_atom_site_fract_y
_atom_site_fract_z
_atom_site_occupancy
Ac1 Ac 0.000 0.057 0.250 1
Ac2 Ac 0.000 0.161 0.750 1
In1 In 0.000 0.224 0.250 1
In2 In 0.000 0.439 0.070 1
Ag1 Ag 0.000 0.312 0.561 1



# 6
# PaTiNbPt (GGA-PBE, optimized geometry)
# density of states at the Fermi level = 1.0452 states/eV per atom
# DFT formation energy = -387 meV per atom
data_PaTiNbPt
_cell_length_a 6.729
_cell_length_b 6.729
_cell_length_c 6.729
_cell_angle_alpha 90.00
_cell_angle_beta 90.00
_cell_angle_gamma 90.00
_symmetry_space_group_name_H-M 'F -4 3 m'
_symmetry_Int_Tables_number 216
_symmetry_space_group_name_Hall 'F -4 2 3'
loop_
_atom_site_label
_atom_site_type_symbol
_atom_site_fract_x
_atom_site_fract_y
_atom_site_fract_z
_atom_site_occupancy
Pa1 Pa 0.000 0.000 0.000 1
Ti1 Ti 0.000 0.000 0.500 1
Nb1 Nb 0.250 0.250 0.750 1
Pt1 Pt 0.250 0.250 0.250 1



no.,volume (Å³/atom),uncorrected energy (eV per cell)
1,52.6,-57.34
2,32.9,-21.14
3,31.9,-8.54
4,23.2,-69.31
5,28.8,-98.27
6,19.0,-140.20